1.
This record from OQMD via LeMat-Bulk describes crystalline PmCu2 at its relaxed geometry. The functional is PBE.

The value obtained for the energy is -4.285 eV per atom. The formation energy is -226 meV/atom.

The space group is P6/mmm (No. 191) and the conventional cell measures 4.2661, 4.2661 and 3.7190 Å, with angles of 90.00, 90.00 and 120.00 degrees. The inequivalent atoms are Pm at (0.0000, 0.0000, 0.0000) and Cu at (0.3333, 0.6667, 0.5000).

***

2.
This record from OQMD via LeMat-Bulk describes crystalline MgAg at its relaxed geometry. The functional is PBE.

The value obtained for the energy is -2.329 eV per atom.

The space group is Pmmn (No. 59, origin choice 2) and the conventional cell measures 4.835, 11.796 and 5.153 Å, with angles of 90.00, 90.00 and 90.00 degrees. The inequivalent atoms are Mg at (0.250, 0.001, 0.171), Mg at (0.250, 0.629, 0.654), Ag at (0.250, 0.120, 0.677), Ag at (0.250, 0.250, 0.181) and Ag at (0.250, 0.750, 0.154).

***

3.
This record from OQMD via LeMat-Bulk describes crystalline Ag2GeIr at its relaxed geometry. The functional is PBE.

The value obtained for the energy is -4.550 eV per atom.

The space group is F-43m (No. 216) and the conventional cell measures 6.403, 6.403 and 6.403 Å, with angles of 90.00, 90.00 and 90.00 degrees. The inequivalent atoms are Ag at (0.000, 0.000, 0.000), Ag at (0.250, 0.250, 0.250), Ge at (0.000, 0.000, 0.500) and Ir at (0.250, 0.250, 0.750).

***

- Among the records above, which one has the highest energy?
  MgAg